No. 1
Material: CsZr4S8
Method: DFT, PBE-GGA
State: relaxed

Results
Its formation energy (no corrections) is -1.535 eV per atom. The space group is Cm (8).

a = 3.716 Å, b = 9.204 Å, c = 9.746 Å
α = 82.89°, β = 79.01°, γ = 78.36°
Sites, in units of the cell vectors:
S 0.478 0.338 0.707
Zr 0.364 0.828 0.444
S 0.220 0.664 0.896
S 0.177 0.019 0.627
Zr 0.852 0.497 0.800
Cs 0.516 0.001 0.966
S 0.811 0.339 0.038
S 0.879 0.674 0.567
S 0.554 0.666 0.227
S 0.855 0.984 0.307
S 0.152 0.330 0.367
Zr 0.180 0.506 0.134
Zr 0.667 0.175 0.490

---

No. 2
Material: CsZrS2
Method: DFT, PBE-GGA
State: relaxed

Results
Its formation energy (no corrections) is -1.416 eV per atom. The space group is R3m (160).

a = 3.801 Å, b = 3.801 Å, c = 8.485 Å
α = 77.06°, β = 77.06°, γ = 60.00°
Sites, in units of the cell vectors:
S 0.061 0.061 0.816
Cs 0.497 0.497 0.508
Zr 0.668 0.668 0.997
S 0.274 0.274 0.179

---

No. 3
Material: CsZrS2
Method: DFT, PBE-GGA
State: relaxed

Results
Its formation energy (no corrections) is -1.389 eV per atom. The space group is P2_1/m (11).

a = 3.713 Å, b = 7.547 Å, c = 9.151 Å
α = 108.33°, β = 90.00°, γ = 90.00°
Last column: magnetic moment on the atom in μB.
Sites, in units of the cell vectors:
Zr 0.250 0.620 0.146  0.26
Zr 0.750 0.380 0.854  0.26
S 0.250 0.308 0.648  0.01
S 0.750 0.729 0.992  0.00
Cs 0.750 0.184 0.313  0.00
S 0.250 0.271 0.008  0.00
S 0.750 0.692 0.352  0.01
Cs 0.250 0.816 0.687  0.00

---

No. 4
Material: CsZr5S8
Method: DFT, PBE-GGA
State: relaxed

Results
Its formation energy (no corrections) is -1.592 eV per atom. The space group is C2/m (12).

a = 3.647 Å, b = 9.600 Å, c = 9.619 Å
α = 104.33°, β = 100.93°, γ = 90.00°
Sites, in units of the cell vectors:
S 0.911 0.167 0.822
Zr 0.708 0.349 0.415
Cs 0.500 0.500 0.000
Zr 0.000 0.000 0.000
S 0.838 0.506 0.676
S 0.423 0.837 0.845
S 0.577 0.163 0.155
S 0.242 0.173 0.485
Zr 0.292 0.651 0.585
S 0.089 0.833 0.178
S 0.162 0.494 0.324
Zr 0.333 0.006 0.666
S 0.758 0.827 0.515
Zr 0.667 0.994 0.334

---

No. 5
Material: Cs5Zr2S6
Method: DFT, PBE-GGA
State: relaxed

Results
Its formation energy (no corrections) is -1.402 eV per atom. The space group is C2/c (15).

a = 8.202 Å, b = 8.202 Å, c = 18.398 Å
α = 80.20°, β = 80.20°, γ = 64.92°
Last column: magnetic moment on the atom in μB.
Sites, in units of the cell vectors:
S 0.804 0.649 0.064  -0.01
S 0.601 0.697 0.362  -0.01
S 0.351 0.196 0.436  -0.01
Cs 0.628 0.372 0.250  0.00
Cs 0.205 0.683 0.498  0.00
S 0.987 0.886 0.873  -0.01
S 0.886 0.987 0.373  -0.01
Zr 0.364 0.090 0.572  0.32
Cs 0.372 0.628 0.750  0.00
Zr 0.910 0.636 0.928  0.32
S 0.013 0.114 0.127  -0.01
Cs 0.752 0.934 0.721  0.00
S 0.399 0.303 0.638  -0.01
S 0.196 0.351 0.936  -0.01
Zr 0.090 0.364 0.072  0.32
S 0.697 0.601 0.862  -0.01
Cs 0.317 0.795 0.002  0.00
S 0.114 0.013 0.627  -0.01
Cs 0.795 0.317 0.502  0.00
Cs 0.934 0.752 0.221  0.00
Cs 0.066 0.248 0.779  0.00
Zr 0.636 0.910 0.428  0.32
S 0.649 0.804 0.564  -0.01
Cs 0.683 0.205 0.998  0.00
Cs 0.248 0.066 0.279  0.00
S 0.303 0.399 0.138  -0.01

---

No. 6
Material: CsZr6S12
Method: DFT, PBE-GGA
State: relaxed

Results
Its formation energy (no corrections) is -1.292 eV per atom. The space group is R-3m (166).

a = 7.878 Å, b = 7.878 Å, c = 7.878 Å
α = 105.83°, β = 105.83°, γ = 105.83°
Sites, in units of the cell vectors:
Zr 0.353 0.743 0.743
S 0.125 0.500 0.875
Cs 0.000 0.000 0.000
S 0.831 0.560 0.560
S 0.500 0.875 0.125
Zr 0.647 0.257 0.257
S 0.440 0.440 0.169
S 0.440 0.169 0.440
S 0.125 0.875 0.500
Zr 0.257 0.257 0.647
S 0.560 0.560 0.831
Zr 0.257 0.647 0.257
S 0.560 0.831 0.560
S 0.875 0.125 0.500
S 0.169 0.440 0.440
S 0.875 0.500 0.125
S 0.500 0.125 0.875
Zr 0.743 0.353 0.743
Zr 0.743 0.743 0.353

---

No. 7
Material: Cs5ZrS5
Method: DFT, PBE-GGA
State: relaxed

Results
Its formation energy (no corrections) is -1.039 eV per atom. The space group is C2/m (12).

a = 6.382 Å, b = 8.427 Å, c = 9.179 Å
α = 108.66°, β = 90.00°, γ = 112.25°
Last column: magnetic moment on the atom in μB.
Sites, in units of the cell vectors:
Cs 0.664 0.329 0.827  0.01
S 0.875 0.751 0.118  0.10
Cs 0.697 0.393 0.296  0.00
Cs 0.303 0.607 0.704  0.00
Cs 0.336 0.671 0.173  0.01
S 0.500 0.000 0.000  0.17
S 0.125 0.249 0.882  0.10
S 0.125 0.249 0.269  0.13
Cs 0.000 0.000 0.500  0.01
S 0.875 0.751 0.731  0.13
Zr 0.000 0.000 0.000  -0.04

---

No. 8
Material: Cs3ZrS
Method: DFT, PBE-GGA
State: relaxed

Results
Its formation energy (no corrections) is 0.408 eV per atom. The space group is Pm-3m (221).

a = 6.797 Å, b = 6.797 Å, c = 6.797 Å
α = 90.00°, β = 90.00°, γ = 90.00°
Last column: magnetic moment on the atom in μB.
Sites, in units of the cell vectors:
S 0.000 0.000 0.000  -0.01
Cs 0.500 0.000 0.000  0.01
Cs 0.000 0.000 0.500  0.01
Cs 0.000 0.500 0.000  0.01
Zr 0.500 0.500 0.500  1.71

---

No. 9
Material: CsZr3S6
Method: DFT, PBE-GGA
State: relaxed

Results
Its formation energy (no corrections) is -1.491 eV per atom. The space group is P2_1/m (11).

a = 3.706 Å, b = 11.803 Å, c = 11.777 Å
α = 107.25°, β = 90.00°, γ = 90.00°
Sites, in units of the cell vectors:
S 0.750 0.172 0.539
S 0.250 0.873 0.948
Zr 0.750 0.739 0.308
S 0.250 0.665 0.159
Zr 0.250 0.648 0.538
Cs 0.250 0.375 0.099
Zr 0.750 0.966 0.847
S 0.250 0.246 0.317
Zr 0.250 0.034 0.153
Zr 0.750 0.352 0.462
S 0.250 0.828 0.461
S 0.750 0.127 0.052
S 0.250 0.457 0.622
S 0.750 0.754 0.683
Cs 0.750 0.625 0.901
S 0.250 0.060 0.758
Zr 0.250 0.261 0.692
S 0.750 0.940 0.242
S 0.750 0.335 0.841
S 0.750 0.543 0.378

---

No. 10
Material: Cs3Sb2
Method: DFT, PBE-GGA
State: relaxed

Results
Its formation energy (no corrections) is -0.291 eV per atom. The space group is Fdd2 (43).

a = 5.830 Å, b = 7.633 Å, c = 12.047 Å
α = 84.70°, β = 76.00°, γ = 67.55°
Sites, in units of the cell vectors:
Cs 0.596 0.882 0.778
Cs 0.693 0.500 0.500
Sb 0.604 0.041 0.457
Cs 0.227 0.618 0.278
Sb 0.811 0.541 0.043
Cs 0.124 0.382 0.722
Sb 0.102 0.959 0.543
Cs 0.255 0.118 0.222
Cs 0.943 0.000 0.000
Sb 0.395 0.459 0.957

---

No. 11
Material: Cs2Sb3
Method: DFT, PBE-GGA
State: relaxed

Results
Its formation energy (no corrections) is -0.294 eV per atom. The space group is Cmce (64).

a = 6.694 Å, b = 7.500 Å, c = 9.363 Å
α = 90.00°, β = 90.00°, γ = 116.50°
Sites, in units of the cell vectors:
Cs 0.335 0.669 0.105
Sb 0.329 0.159 0.250
Sb 0.000 0.000 0.000
Sb 0.500 0.000 0.500
Sb 0.671 0.841 0.750
Sb 0.829 0.159 0.250
Sb 0.171 0.841 0.750
Cs 0.665 0.331 0.895
Cs 0.165 0.331 0.605
Cs 0.835 0.669 0.395

---

No. 12
Material: Cs3Sb
Method: DFT, PBE-GGA
State: relaxed

Results
Its formation energy (no corrections) is -0.337 eV per atom. The space group is Fm-3m (225).

a = 6.590 Å, b = 6.592 Å, c = 6.590 Å
α = 120.01°, β = 120.00°, γ = 90.00°
Sites, in units of the cell vectors:
Cs 0.250 0.667 0.500
Sb 0.000 0.917 0.000
Cs 0.500 0.417 0.000
Cs 0.750 0.167 0.500

---

Please write out number 11 again, unchanged.
Material: Cs2Sb3
Method: DFT, PBE-GGA
State: relaxed

Results
Its formation energy (no corrections) is -0.294 eV per atom. The space group is Cmce (64).

a = 6.694 Å, b = 7.500 Å, c = 9.363 Å
α = 90.00°, β = 90.00°, γ = 116.50°
Sites, in units of the cell vectors:
Cs 0.335 0.669 0.105
Sb 0.329 0.159 0.250
Sb 0.000 0.000 0.000
Sb 0.500 0.000 0.500
Sb 0.671 0.841 0.750
Sb 0.829 0.159 0.250
Sb 0.171 0.841 0.750
Cs 0.665 0.331 0.895
Cs 0.165 0.331 0.605
Cs 0.835 0.669 0.395

---

Please write out number 9 again, unchanged.
Material: CsZr3S6
Method: DFT, PBE-GGA
State: relaxed

Results
Its formation energy (no corrections) is -1.491 eV per atom. The space group is P2_1/m (11).

a = 3.706 Å, b = 11.803 Å, c = 11.777 Å
α = 107.25°, β = 90.00°, γ = 90.00°
Sites, in units of the cell vectors:
S 0.750 0.172 0.539
S 0.250 0.873 0.948
Zr 0.750 0.739 0.308
S 0.250 0.665 0.159
Zr 0.250 0.648 0.538
Cs 0.250 0.375 0.099
Zr 0.750 0.966 0.847
S 0.250 0.246 0.317
Zr 0.250 0.034 0.153
Zr 0.750 0.352 0.462
S 0.250 0.828 0.461
S 0.750 0.127 0.052
S 0.250 0.457 0.622
S 0.750 0.754 0.683
Cs 0.750 0.625 0.901
S 0.250 0.060 0.758
Zr 0.250 0.261 0.692
S 0.750 0.940 0.242
S 0.750 0.335 0.841
S 0.750 0.543 0.378

---

Q: Which value of formation energy (no corrections) does entry 10 give?
A: -0.291 eV per atom